1.
A plane-wave DFT calculation with PBE was carried out for crystalline DyLuPt4 at its relaxed geometry.

Its calculated formation energy is -1122 meV/atom. The density of states at the Fermi level is 0.509 states/eV/atom.

abc: 5.4148 5.4148 5.4148
angles: 60.00 60.00 60.00
Last column: nearest neighbours and their distance in Å.
Atoms (fractional coordinates):
Dy1 0.0000 0.0000 0.0000  12 Pt 3.18, 4 Lu 3.32
Lu1 0.7500 0.7500 0.7500  12 Pt 3.17, 4 Dy 3.32
Pt1 0.3752 0.3752 0.3752  6 Pt 2.70-2.71
Pt2 0.3752 0.3752 0.8744  6 Pt 2.70-2.71
Pt3 0.3752 0.8744 0.3752  6 Pt 2.70-2.71
Pt4 0.8744 0.3752 0.3752  6 Pt 2.70-2.71



2.
A plane-wave DFT calculation with PBE was carried out for crystalline DyLuPt2 at its relaxed geometry.

Its calculated formation energy is -1266 meV/atom. The density of states at the Fermi level is 0.495 states/eV/atom.

abc: 4.8939 4.8939 4.8939
angles: 60.00 60.00 60.00
Last column: nearest neighbours and their distance in Å.
Atoms (fractional coordinates):
Dy1 0.0000 0.0000 0.0000  8 Pt 3.00
Lu1 0.5000 0.5000 0.5000  8 Pt 3.00
Pt1 0.2500 0.2500 0.2500  4 Lu 3.00, 4 Dy 3.00
Pt2 0.7500 0.7500 0.7500  4 Lu 3.00, 4 Dy 3.00



3.
A plane-wave DFT calculation with PBE was carried out for crystalline DyLuScPt at its relaxed geometry.

Its calculated formation energy is -410 meV/atom. The density of states at the Fermi level is 1.263 states/eV/atom.

abc: 5.0452 5.0452 5.0452
angles: 60.00 60.00 60.00
Last column: nearest neighbours and their distance in Å.
Atoms (fractional coordinates):
Dy1 0.0000 0.0000 0.0000  4 Sc 3.09, 4 Pt 3.09
Lu1 0.5000 0.5000 0.5000  4 Sc 3.09, 4 Pt 3.09
Sc1 0.7500 0.7500 0.7500  4 Dy 3.09, 4 Lu 3.09
Pt1 0.2500 0.2500 0.2500  4 Dy 3.09, 4 Lu 3.09



4.
A plane-wave DFT calculation with PBE was carried out for crystalline DyLuTlPt at its relaxed geometry.

Its calculated formation energy is -706 meV/atom. The density of states at the Fermi level is 0.907 states/eV/atom.

abc: 5.1014 5.1014 5.1014
angles: 60.00 60.00 60.00
Last column: nearest neighbours and their distance in Å.
Atoms (fractional coordinates):
Dy1 0.0000 0.0000 0.0000  4 Tl 3.12, 4 Pt 3.12
Lu1 0.5000 0.5000 0.5000  4 Tl 3.12, 4 Pt 3.12
Tl1 0.2500 0.2500 0.2500  4 Dy 3.12, 4 Lu 3.12
Pt1 0.7500 0.7500 0.7500  4 Dy 3.12, 4 Lu 3.12



5.
A plane-wave DFT calculation with PBE was carried out for crystalline DyLuPuSc at its relaxed geometry.

Its calculated formation energy is 159 meV/atom. The density of states at the Fermi level is 2.071 states/eV/atom.

abc: 5.4176 5.4176 5.4176
angles: 60.00 60.00 60.00
Last column: nearest neighbours and their distance in Å.
Atoms (fractional coordinates):
Dy1 0.0000 0.0000 0.0000  4 Lu 3.32, 4 Sc 3.32
Lu1 0.7500 0.7500 0.7500  4 Pu 3.32, 4 Dy 3.32
Pu1 0.5000 0.5000 0.5000  4 Sc 3.32, 4 Lu 3.32
Sc1 0.2500 0.2500 0.2500  4 Pu 3.32, 4 Dy 3.32



6.
A plane-wave DFT calculation with PBE was carried out for crystalline DyLuPuSn at its relaxed geometry.

Its calculated formation energy is -139 meV/atom. The density of states at the Fermi level is 2.548 states/eV/atom.

abc: 5.3630 5.3630 5.3630
angles: 60.00 60.00 60.00
Last column: nearest neighbours and their distance in Å.
Atoms (fractional coordinates):
Dy1 0.0000 0.0000 0.0000  4 Lu 3.28, 4 Sn 3.28
Lu1 0.7500 0.7500 0.7500  4 Dy 3.28, 4 Pu 3.28
Pu1 0.5000 0.5000 0.5000  4 Lu 3.28, 4 Sn 3.28
Sn1 0.2500 0.2500 0.2500  4 Pu 3.28, 4 Dy 3.28